No. 1
First-principles (PBE) data for crystalline BIrN2 at its relaxed geometry, as listed in Alexandria.

Calculated values
SG	R-3m
calculated density	8.8	g/cm3
E	-31.42	eV per cell

Cell lengths 4.9200, 4.9200, 4.9200 Å; angles 39.65, 39.65, 39.65 degrees
Closest atoms and distances in Å follow each position.
Atoms (fractional coordinates):
B  0.0000  0.0000  0.0000  2 N 1.35
Ir  0.5000  0.5000  0.5000  6 N 2.13
N  0.0994  0.0994  0.0994  1 B 1.35
N  0.9006  0.9006  0.9006  1 B 1.35

No. 2
First-principles (PBE) data for crystalline Ga2TcMo2 at its relaxed geometry, as listed in Alexandria.

Calculated values
SG	P4/mbm
calculated density	9.4	g/cm3
E_form	0.47	eV/f.u.

Cell lengths 6.7181, 6.7181, 3.3697 Å; angles 90.00, 90.00, 90.00 degrees
Closest atoms and distances in Å follow each position.
Atoms (fractional coordinates):
Ga  0.1324  0.3676  0.0000  1 Ga 2.52, 6 Mo 2.53-2.64, 2 Tc 2.62
Ga  0.3676  0.8676  0.0000  1 Ga 2.52, 6 Mo 2.53-2.64, 2 Tc 2.62
Ga  0.6324  0.1324  0.0000  1 Ga 2.52, 6 Mo 2.53-2.64, 2 Tc 2.62
Ga  0.8676  0.6324  0.0000  1 Ga 2.52, 6 Mo 2.53-2.64, 2 Tc 2.62
Tc  0.0000  0.0000  0.0000  4 Ga 2.62
Tc  0.5000  0.5000  0.0000  4 Ga 2.62
Mo  0.1684  0.6684  0.5000  6 Ga 2.53-2.64
Mo  0.3316  0.1684  0.5000  6 Ga 2.53-2.64
Mo  0.6684  0.8316  0.5000  6 Ga 2.53-2.64
Mo  0.8316  0.3316  0.5000  6 Ga 2.53-2.64

No. 3
First-principles (PBE) data for crystalline AlTeN2O at its relaxed geometry, as listed in Alexandria.

Calculated values
SG	P4/mmm
calculated density	4.9	g/cm3
E	-19.75	eV per cell

Cell lengths 3.9977, 3.9977, 4.1909 Å; angles 90.00, 90.00, 90.00 degrees
Closest atoms and distances in Å follow each position.
Atoms (fractional coordinates):
Al  0.0000  0.0000  0.0000  4 Te 2.83, 8 N 2.90
Te  0.5000  0.5000  0.0000  2 O 2.10
N  0.0000  0.5000  0.5000  2 O 2.00
N  0.5000  0.0000  0.5000  2 O 2.00
O  0.5000  0.5000  0.5000  4 N 2.00, 2 Te 2.10

No. 4
First-principles (PBE) data for crystalline Tb2CeTm at its relaxed geometry, as listed in Alexandria.

Calculated values
energy relative to the lowest polymorph listed for this composition	132.8	meV/atom
SG	Fm-3m
calculated density	8.2	g/cm3
E_form	0.75	eV/f.u.

Cell lengths 5.6474, 5.6474, 5.6474 Å; angles 60.00, 60.00, 60.00 degrees
Closest atoms and distances in Å follow each position.
Atoms (fractional coordinates):
Tb  0.2500  0.2500  0.2500  4 Tm 3.46, 4 Ce 3.46
Tb  0.7500  0.7500  0.7500  4 Tm 3.46, 4 Ce 3.46
Ce  0.0000  0.0000  0.0000  8 Tb 3.46
Tm  0.5000  0.5000  0.5000  8 Tb 3.46